4
Lattice="0.000 3.323 3.323 3.323 0.000 3.323 3.323 3.323 0.000" Properties=species:S:1:pos:R:3 comment="InRe2Pb, relaxed, DFT GGA-PBE" relative_energy_ev_per_fu=3.12 m_tot_mub_per_cell=0.00 rho_g_cm3=15.72 crystal_system=cubic pbc="T T T"
In 0.000 0.000 0.000
Re 1.661 1.661 1.661
Re 4.984 4.984 4.984
Pb 3.323 3.323 3.323


14
Lattice="3.410 -7.933 0.000 3.410 7.933 0.000 0.000 0.000 6.816" Properties=species:S:1:pos:R:3 comment="Dy4SbPbC, relaxed, DFT GGA-PBE" m_tot_mub_per_cell=0.00 rho_g_cm3=8.92 crystal_system=orthorhombic formation_energy_uncorrected_mev_per_atom=-669 pbc="T T T"
Dy 1.705 3.966 0.000
Dy 1.705 3.966 3.408
Dy 3.410 6.457 5.112
Dy 3.410 1.488 5.112
Dy 1.705 -3.966 0.000
Dy 1.705 -3.966 3.408
Dy 3.410 -1.488 1.704
Dy 3.410 -6.457 1.704
Sb 3.410 6.208 1.704
Sb 3.410 -6.208 5.112
Pb 3.410 1.680 1.704
Pb 3.410 -1.680 5.112
C 3.410 3.973 5.112
C 3.410 -3.973 1.704


20
Lattice="11.152 0.000 0.000 0.000 11.152 0.000 0.000 0.000 3.447" Properties=species:S:1:pos:R:3 comment="Mg2Sc5ZnPd2, relaxed, DFT GGA-PBE" m_tot_mub_per_cell=0.00 rho_g_cm3=4.27 crystal_system=tetragonal energy_ev_per_atom=-5.0759 pbc="T T T"
Mg 1.952 3.625 0.000
Mg 3.625 9.201 0.000
Mg 7.528 1.952 0.000
Mg 9.201 7.528 0.000
Sc 0.000 5.576 1.723
Sc 0.743 8.975 1.723
Sc 2.177 0.743 1.723
Sc 3.399 6.319 1.723
Sc 4.833 3.399 1.723
Sc 5.576 0.000 1.723
Sc 6.319 7.753 1.723
Sc 7.753 4.833 1.723
Sc 8.975 10.410 1.723
Sc 10.410 2.177 1.723
Zn 0.000 0.000 0.000
Zn 5.576 5.576 0.000
Pd 1.473 7.049 0.000
Pd 4.103 1.473 0.000
Pd 7.049 9.679 0.000
Pd 9.679 4.103 0.000